# 1
Material: KBeTl
Method: DFT, PBEsol
State: relaxed

Computed properties:
N(E_F), states/eV per cell: 12.10
Energy relative to the elements, eV/atom: 0.84
Relative energy among the computed polymorphs, eV/atom: 0.415

Cell: 7.1664 7.1664 7.1664 Å, 90.00 90.00 90.00°
Last column: nearest neighbours and their distance in Å.
Space group F-43m (No. 216)
Symmetry-distinct sites (fractional):
1 K 0.0000 0.0000 0.0000 (multiplicity 4)  4 Tl 3.10
2 Be 0.0000 0.0000 0.5000 (multiplicity 4)  4 Tl 3.10
3 Tl 0.2500 0.2500 0.7500 (multiplicity 4)  4 K 3.10, 4 Be 3.10



# 2
Material: KBeTl
Method: DFT, PBEsol
State: relaxed

Computed properties:
N(E_F), states/eV per cell: 10.74
Energy relative to the elements, eV/atom: 1.13
Relative energy among the computed polymorphs, eV/atom: 0.706

Cell: 7.4142 7.4142 7.4142 Å, 90.00 90.00 90.00°
Last column: nearest neighbours and their distance in Å.
Space group F-43m (No. 216)
Symmetry-distinct sites (fractional):
1 K 0.0000 0.0000 0.0000 (multiplicity 4)  4 Tl 3.21, 4 Be 3.21
2 Be 0.2500 0.2500 0.2500 (multiplicity 4)  4 K 3.21
3 Tl 0.2500 0.2500 0.7500 (multiplicity 4)  4 K 3.21